1.
! Pd8PtAu2 | Alexandria | GGA-PBE | optimized geometry; values from VASP
&SYSTEM
  ibrav = 0, nat = 11, ntyp = 3
/
ATOMIC_SPECIES
Pt 195.08 Pt.upf
Pd 106.42 Pd.upf
Au 196.97 Au.upf
ATOMIC_POSITIONS crystal
Pt 0.0000 0.0000 0.0000
Pd 0.8742 0.2794 0.2794
Pd 0.7100 0.5694 0.5694
Pd 0.8059 0.1674 0.6681
Au 0.5534 0.8516 0.8516
Pd 0.1258 0.7206 0.7206
Pd 0.8059 0.6681 0.1674
Pd 0.1941 0.8326 0.3319
Pd 0.2900 0.4306 0.4306
Au 0.4466 0.1484 0.1484
Pd 0.1941 0.3319 0.8326
CELL_PARAMETERS angstrom
4.7446 0.2784 0.2381
1.0287 6.6396 -0.2956
1.0287 0.7373 6.6052
! Total moment ... 0.00 μB per formula unit
! Energy of formation ... 0.33 eV per atom
! Space group ... C2/m (12)
! Electronic total energy ... -50.50 eV per formula unit
! Energy above the most stable polymorph in this dataset ... 0.165 eV per atom

2.
! ThAlGeAu | Alexandria | GGA-PBE | optimized geometry; values from VASP
&SYSTEM
  ibrav = 0, nat = 4, ntyp = 4
/
ATOMIC_SPECIES
Ge 72.64 Ge.upf
Th 232.04 Th.upf
Au 196.97 Au.upf
Al 26.98 Al.upf
ATOMIC_POSITIONS crystal
Ge 0.9263 0.3840 0.8527
Th 0.3518 0.8099 0.7036
Au 0.6791 0.1376 0.3582
Al 0.5776 0.5363 0.1553
CELL_PARAMETERS angstrom
3.9558 0.0000 0.0000
0.0000 4.5014 -0.0080
-1.9779 -2.2391 5.2563
! Total moment ... 0.00 μB per formula unit
! Energy of formation ... -0.49 eV per atom
! Space group ... Imm2 (44)
! Electronic total energy ... -21.01 eV per formula unit

3.
! GaB2Mo2 | Alexandria | GGA-PBE | optimized geometry; values from VASP
&SYSTEM
  ibrav = 0, nat = 10, ntyp = 3
/
ATOMIC_SPECIES
B 10.81 B.upf
Ga 69.72 Ga.upf
Mo 95.94 Mo.upf
ATOMIC_POSITIONS crystal
B 0.6090 0.1090 0.0000
Ga 0.0000 0.0000 0.0000
Ga 0.5000 0.5000 0.0000
B 0.1090 0.3910 0.0000
Mo 0.3249 0.1751 0.5000
Mo 0.1751 0.6751 0.5000
Mo 0.6751 0.8249 0.5000
Mo 0.8249 0.3249 0.5000
B 0.8910 0.6090 0.0000
B 0.3910 0.8910 0.0000
CELL_PARAMETERS angstrom
-3.3122 3.6993 3.1996
-4.6270 -3.6223 -0.6019
0.8560 -1.5357 2.6617
! Total moment ... 0.00 μB per formula unit
! Energy of formation ... -0.25 eV per atom
! Space group ... P4/mbm (127)
! Electronic total energy ... -39.31 eV per formula unit

4.
! BeTl2Re | Alexandria | GGA-PBE | optimized geometry; values from VASP
&SYSTEM
  ibrav = 0, nat = 4, ntyp = 3
/
ATOMIC_SPECIES
Re 186.21 Re.upf
Tl 204.38 Tl.upf
Be 9.01 Be.upf
ATOMIC_POSITIONS crystal
Re 0.0000 0.5000 0.5000
Tl 0.5000 0.5000 0.0000
Be 0.5000 0.0000 0.5000
Tl 0.0000 0.0000 0.0000
CELL_PARAMETERS angstrom
5.7466 0.0433 -0.0090
-2.2653 5.2814 -0.0090
0.8966 1.3714 2.5149
! Total moment ... 0.00 μB per formula unit
! Energy of formation ... 1.13 eV per atom
! Space group ... C2/m (12)
! Electronic total energy ... -16.37 eV per formula unit
! Energy above the most stable polymorph in this dataset ... 0.543 eV per atom

Copy entry 3 word for word.
! GaB2Mo2 | Alexandria | GGA-PBE | optimized geometry; values from VASP
&SYSTEM
  ibrav = 0, nat = 10, ntyp = 3
/
ATOMIC_SPECIES
B 10.81 B.upf
Ga 69.72 Ga.upf
Mo 95.94 Mo.upf
ATOMIC_POSITIONS crystal
B 0.6090 0.1090 0.0000
Ga 0.0000 0.0000 0.0000
Ga 0.5000 0.5000 0.0000
B 0.1090 0.3910 0.0000
Mo 0.3249 0.1751 0.5000
Mo 0.1751 0.6751 0.5000
Mo 0.6751 0.8249 0.5000
Mo 0.8249 0.3249 0.5000
B 0.8910 0.6090 0.0000
B 0.3910 0.8910 0.0000
CELL_PARAMETERS angstrom
-3.3122 3.6993 3.1996
-4.6270 -3.6223 -0.6019
0.8560 -1.5357 2.6617
! Total moment ... 0.00 μB per formula unit
! Energy of formation ... -0.25 eV per atom
! Space group ... P4/mbm (127)
! Electronic total energy ... -39.31 eV per formula unit

Repeat the second record exactly.
! ThAlGeAu | Alexandria | GGA-PBE | optimized geometry; values from VASP
&SYSTEM
  ibrav = 0, nat = 4, ntyp = 4
/
ATOMIC_SPECIES
Ge 72.64 Ge.upf
Th 232.04 Th.upf
Au 196.97 Au.upf
Al 26.98 Al.upf
ATOMIC_POSITIONS crystal
Ge 0.9263 0.3840 0.8527
Th 0.3518 0.8099 0.7036
Au 0.6791 0.1376 0.3582
Al 0.5776 0.5363 0.1553
CELL_PARAMETERS angstrom
3.9558 0.0000 0.0000
0.0000 4.5014 -0.0080
-1.9779 -2.2391 5.2563
! Total moment ... 0.00 μB per formula unit
! Energy of formation ... -0.49 eV per atom
! Space group ... Imm2 (44)
! Electronic total energy ... -21.01 eV per formula unit